# PBE Na6AgAu, optimized geometry
data_Na6AgAu
_cell_length_a 5.074
_cell_length_b 5.074
_cell_length_c 7.178
_cell_angle_alpha 90.00
_cell_angle_beta 90.00
_cell_angle_gamma 90.00
_symmetry_space_group_name_H-M 'P 1'
_symmetry_Int_Tables_number 1
_symmetry_space_group_name_Hall 'P 1'
loop_
_atom_site_label
_atom_site_fract_x
_atom_site_fract_y
_atom_site_fract_z
Na1 0.000 0.000 0.000
Na2 0.000 0.500 0.246
Na3 0.000 0.500 0.754
Na4 0.500 0.000 0.246
Na5 0.500 0.000 0.754
Na6 0.500 0.500 0.500
Ag1 0.000 0.000 0.500
Au1 0.500 0.500 0.000
# **Space-group type**: P4/mmm
# **Crystal system**: tetragonal
# **E_tot**: -1.819 eV/atom



# PBE HfZnFeBi, optimized geometry
data_HfZnFeBi
_cell_length_a 4.737
_cell_length_b 4.737
_cell_length_c 4.737
_cell_angle_alpha 60.00
_cell_angle_beta 60.00
_cell_angle_gamma 60.00
_symmetry_space_group_name_H-M 'P 1'
_symmetry_Int_Tables_number 1
_symmetry_space_group_name_Hall 'P 1'
loop_
_atom_site_label
_atom_site_fract_x
_atom_site_fract_y
_atom_site_fract_z
Hf1 0.000 0.000 0.000
Zn1 0.750 0.750 0.750
Fe1 0.500 0.500 0.500
Bi1 0.250 0.250 0.250
# **Space-group type**: F-43m
# **Crystal system**: cubic
# **Energy above the lowest structure with this stoichiometry**: 0.118 eV/atom



# PBE LuAgPd, optimized geometry
data_LuAgPd
_cell_length_a 4.556
_cell_length_b 4.556
_cell_length_c 4.556
_cell_angle_alpha 60.00
_cell_angle_beta 60.00
_cell_angle_gamma 60.00
_symmetry_space_group_name_H-M 'P 1'
_symmetry_Int_Tables_number 1
_symmetry_space_group_name_Hall 'P 1'
loop_
_atom_site_label
_atom_site_fract_x
_atom_site_fract_y
_atom_site_fract_z
Lu1 0.000 0.000 0.000
Ag1 0.500 0.500 0.500
Pd1 0.750 0.750 0.750
# **Space-group type**: F-43m
# **Crystal system**: cubic
# **Energy of formation from the pure elements**: -489.5 meV/atom
# **Energy above the lowest structure with this stoichiometry**: 0.000 eV/atom



# PBE Y3Er2Lu2Te2Pd2, optimized geometry
data_Y3Er2Lu2Te2Pd2
_cell_length_a 9.350
_cell_length_b 9.350
_cell_length_c 9.350
_cell_angle_alpha 155.72
_cell_angle_beta 66.91
_cell_angle_gamma 118.73
_symmetry_space_group_name_H-M 'P 1'
_symmetry_Int_Tables_number 1
_symmetry_space_group_name_Hall 'P 1'
loop_
_atom_site_label
_atom_site_fract_x
_atom_site_fract_y
_atom_site_fract_z
Y1 0.000 0.000 0.000
Y2 0.616 0.261 0.356
Y3 0.905 0.261 0.644
Er1 0.284 0.414 0.870
Er2 0.543 0.414 0.130
Lu1 0.306 0.623 0.683
Lu2 0.940 0.623 0.317
Te1 0.263 0.763 0.500
Te2 0.660 0.660 0.000
Pd1 0.172 0.933 0.239
Pd2 0.695 0.933 0.761
# **Space-group type**: Imm2
# **Crystal system**: orthorhombic
# **E_tot**: -5.798 eV/atom



# PBE NaAgPdSe2S, optimized geometry
data_NaAgPdSe2S
_cell_length_a 6.674
_cell_length_b 6.674
_cell_length_c 10.143
_cell_angle_alpha 90.00
_cell_angle_beta 90.00
_cell_angle_gamma 146.93
_symmetry_space_group_name_H-M 'P 1'
_symmetry_Int_Tables_number 1
_symmetry_space_group_name_Hall 'P 1'
loop_
_atom_site_label
_atom_site_fract_x
_atom_site_fract_y
_atom_site_fract_z
Na1 0.236 0.764 0.750
Na2 0.764 0.236 0.250
Ag1 0.067 0.933 0.250
Ag2 0.933 0.067 0.750
Pd1 0.500 0.500 0.000
Pd2 0.500 0.500 0.500
Se1 0.137 0.863 0.015
Se2 0.137 0.863 0.485
Se3 0.863 0.137 0.515
Se4 0.863 0.137 0.985
S1 0.436 0.564 0.250
S2 0.564 0.436 0.750
# **Space-group type**: Cmcm
# **Crystal system**: orthorhombic
# **E_tot**: -3.685 eV/atom



# PBE Co2TcPt, optimized geometry
data_Co2TcPt
_cell_length_a 3.533
_cell_length_b 3.801
_cell_length_c 3.813
_cell_angle_alpha 90.00
_cell_angle_beta 90.00
_cell_angle_gamma 90.00
_symmetry_space_group_name_H-M 'P 1'
_symmetry_Int_Tables_number 1
_symmetry_space_group_name_Hall 'P 1'
loop_
_atom_site_label
_atom_site_fract_x
_atom_site_fract_y
_atom_site_fract_z
Co1 0.000 0.000 0.000
Co2 0.000 0.500 0.500
Tc1 0.500 0.000 0.500
Pt1 0.500 0.500 0.000
# **Space-group type**: Pmmm
# **Crystal system**: orthorhombic
# **Energy of formation from the pure elements**: 48.7 meV/atom
# **Energy above the lowest structure with this stoichiometry**: 0.000 eV/atom



# PBE Al5W, optimized geometry
data_Al5W
_cell_length_a 5.116
_cell_length_b 5.116
_cell_length_c 8.609
_cell_angle_alpha 90.00
_cell_angle_beta 90.00
_cell_angle_gamma 119.23
_symmetry_space_group_name_H-M 'P 1'
_symmetry_Int_Tables_number 1
_symmetry_space_group_name_Hall 'P 1'
loop_
_atom_site_label
_atom_site_fract_x
_atom_site_fract_y
_atom_site_fract_z
Al1 0.000 0.000 0.000
Al2 0.000 0.000 0.500
Al3 0.167 0.344 0.250
Al4 0.326 0.674 0.568
Al5 0.326 0.674 0.932
Al6 0.344 0.167 0.750
Al7 0.656 0.833 0.250
Al8 0.674 0.326 0.068
Al9 0.674 0.326 0.432
Al10 0.833 0.656 0.750
W1 0.164 0.836 0.250
W2 0.836 0.164 0.750
# **Space-group type**: Cmcm
# **Crystal system**: orthorhombic
# **E_tot**: -5.318 eV/atom



# PBE Be15Nb2Cu2, optimized geometry
data_Be15Nb2Cu2
_cell_length_a 5.646
_cell_length_b 5.646
_cell_length_c 5.646
_cell_angle_alpha 82.86
_cell_angle_beta 82.86
_cell_angle_gamma 82.86
_symmetry_space_group_name_H-M 'P 1'
_symmetry_Int_Tables_number 1
_symmetry_space_group_name_Hall 'P 1'
loop_
_atom_site_label
_atom_site_fract_x
_atom_site_fract_y
_atom_site_fract_z
Be1 0.000 0.000 0.500
Be2 0.000 0.296 0.704
Be3 0.000 0.500 0.000
Be4 0.000 0.704 0.296
Be5 0.163 0.653 0.653
Be6 0.296 0.000 0.704
Be7 0.296 0.704 0.000
Be8 0.347 0.347 0.837
Be9 0.347 0.837 0.347
Be10 0.500 0.000 0.000
Be11 0.653 0.163 0.653
Be12 0.653 0.653 0.163
Be13 0.704 0.000 0.296
Be14 0.704 0.296 0.000
Be15 0.837 0.347 0.347
Nb1 0.346 0.346 0.346
Nb2 0.654 0.654 0.654
Cu1 0.105 0.105 0.105
Cu2 0.895 0.895 0.895
# **Space-group type**: R-3m
# **Crystal system**: trigonal
# **E_tot**: -4.607 eV/atom